Record 1
A plane-wave DFT calculation with PBE was carried out for a geometry-optimized Na4MgIn2 structure.

Cell lengths 9.119, 9.483, 4.980 Å; angles 90.00, 90.00, 90.00 degrees
Space group Cmmm (No. 65)
Symmetry-distinct sites (fractional):
Na  0.185  0.000  0.000
Na  0.250  0.250  0.500
Mg  0.000  0.500  0.500
In  0.000  0.322  0.000

**ΔH_f (0 K)**: -0.0302 eV/atom
**Fermi-level density of states**: 2.98 states/eV/f.u.



Record 2
A plane-wave DFT calculation with PBE was carried out for a geometry-optimized K2NpScS4 structure.

Cell lengths 6.858, 3.981, 7.692 Å; angles 90.00, 107.38, 90.00 degrees
Space group P2/m (No. 10)
Symmetry-distinct sites (fractional):
K  0.000  0.000  0.000
K  0.500  0.500  0.000
Np  0.000  0.500  0.500
Sc  0.500  0.000  0.500
S  0.245  0.000  0.699
S  0.280  0.500  0.305

**Raw formation energy**: -1.55 eV per atom
**Fermi-level density of states**: 11.15 states/eV/f.u.



Record 3
A plane-wave DFT calculation with PBE was carried out for a geometry-optimized CrHRh2 structure.

Cell lengths 2.714, 2.714, 5.956 Å; angles 90.00, 90.00, 90.00 degrees
Space group P4/mmm (No. 123)
Symmetry-distinct sites (fractional):
Cr  0.000  0.000  0.000
H  0.000  0.000  0.500
Rh  0.500  0.500  0.281

**E above lowest polymorph**: 191 meV/atom
**Fermi-level density of states**: 3.31 states/eV/f.u.